Entry from Alexandria: RbSmNiF6 after structural relaxation (GGA+U). Values from VASP.

Calculated values
Spin magnetization (μB per cell): 4.00
E_tot (eV/atom): -5.308

```
&SYSTEM
  ibrav = 0, nat = 18, ntyp = 4
/
ATOMIC_SPECIES
Rb 85.47 Rb.upf
Sm 150.36 Sm.upf
Ni 58.69 Ni.upf
F 19.00 F.upf
CELL_PARAMETERS angstrom
-3.6653 3.8948 5.1290
3.6653 -3.8948 5.1290
3.6653 3.8948 -5.1290
ATOMIC_POSITIONS angstrom
Rb 0.0000 1.9474 0.8899
Rb 3.6653 1.9474 4.2391
Sm 3.6653 0.0000 0.0000
Sm 0.0000 0.0000 5.1290
Ni 1.8327 1.9474 -2.5645
Ni 1.8327 -1.9474 2.5645
F 1.6941 -0.4772 1.1916
F 5.6366 -0.4772 1.1916
F 3.6653 1.9474 -1.6768
F 1.6941 3.4175 -1.1916
F 1.9712 -0.4772 3.9374
F 3.6653 1.9474 1.1918
F 0.0000 1.9474 3.9372
F 1.6941 4.3720 1.1916
F 1.9712 0.4772 6.3206
F 0.0000 1.9474 6.8058
F -1.9712 4.3720 3.9374
F 1.9712 4.3720 3.9374
```